Compound: Ce3HoPb4
Source: Alexandria
Functional: GGA-PBE
Structure: relaxed

Output
Crystal system   orthorhombic
DFT formation energy   -2.4 eV per formula unit

a = 6.3936 Å, b = 12.7830 Å, c = 6.3934 Å
α = 90.00°, β = 90.00°, γ = 90.00°
Closest atoms and distances in Å follow each position.
Space group Pmmn (No. 59, origin choice 2)
Unique sites:
Ce 0.2500 0.0000 0.2499 (multiplicity 4)  6 Pb 3.20
Ce 0.2500 0.2500 0.7482 (multiplicity 2)  6 Pb 3.19-3.20
Ho 0.2500 0.7500 0.7515 (multiplicity 2)  6 Pb 3.20
Pb 0.2500 0.0003 0.7500 (multiplicity 4)  5 Ce 3.19-3.20, 1 Ho 3.20
Pb 0.2500 0.2500 0.2479 (multiplicity 2)  4 Ce 3.19-3.20, 2 Ho 3.20
Pb 0.2500 0.7500 0.2516 (multiplicity 2)  4 Ce 3.20, 2 Ho 3.20